## Zn3CdAg (GGA-PBE)

Data for crystalline Zn3CdAg at its relaxed geometry.

Calculated values
M_tot ... 0.00 μB/f.u.
Formation energy from the elements ... 357 meV per atom
Theoretical density ... 5.65 g/cm3

Cell lengths 4.9665, 4.9665, 4.9665 Å; angles 90.00, 90.00, 90.00 degrees
With the nearest neighbours (Å) after each atom.
Space group Pm-3m (No. 221)
Symmetry-distinct sites (fractional):
Zn 0.0000 0.0000 0.5000 x3  2 Ag 2.48
Cd 0.5000 0.5000 0.5000 x1  12 Zn 3.51
Ag 0.0000 0.0000 0.0000 x1  6 Zn 2.48


## La4Nd9In11 (GGA-PBE)

Data for crystalline La4Nd9In11 at its relaxed geometry.

Calculated values
M_tot ... 0.01 μB/f.u.
Formation energy from the elements ... -429 meV per atom
Theoretical density ... 7.24 g/cm3

Cell lengths 16.4193, 23.9778, 3.6320 Å; angles 90.00, 90.00, 90.00 degrees
With the nearest neighbours (Å) after each atom.
Space group Cmmm (No. 65)
Symmetry-distinct sites (fractional):
La 0.1755 0.0825 0.0000 x8  6 In 3.39-3.53, 3 Nd 3.49-3.59, 2 La 3.63
Nd 0.0000 0.0000 0.0000 x2  4 In 3.42, 4 La 3.50, 2 Nd 3.63
Nd 0.1066 0.4028 0.0000 x8  8 In 3.32-3.43, 3 Nd 3.50-3.63, 1 La 3.59
Nd 0.1123 0.2215 0.0000 x8  8 In 3.35-3.54, 1 La 3.49, 3 Nd 3.63-3.69
In 0.0000 0.1206 0.5000 x4  6 Nd 3.42-3.54, 4 La 3.53, 2 In 3.63
In 0.0000 0.3102 0.5000 x4  8 Nd 3.35-3.36, 4 In 3.63-3.67
In 0.0000 0.5000 0.5000 x2  4 In 3.26-3.63, 8 Nd 3.43
In 0.1986 0.5000 0.5000 x4  3 In 3.26-3.63, 4 Nd 3.32, 4 La 3.39
In 0.2236 0.3142 0.5000 x8  1 In 3.20, 6 Nd 3.36-3.40, 2 La 3.49


## VOsC2Se (GGA-PBE)

Data for crystalline VOsC2Se at its relaxed geometry.

Calculated values
M_tot ... 0.00 μB/f.u.
Theoretical density ... 7.80 g/cm3
Formation energy (no corrections) ... 1.84 eV per atom

Cell lengths 3.8108, 3.8108, 5.0463 Å; angles 90.00, 90.00, 90.00 degrees
With the nearest neighbours (Å) after each atom.
Space group P4/mmm (No. 123)
Symmetry-distinct sites (fractional):
V 0.0000 0.0000 0.0000 x1  4 C 1.91
Os 0.0000 0.0000 0.5000 x1  2 V 2.52, 4 Se 2.69
C 0.0000 0.5000 0.0000 x2  2 V 1.91
Se 0.5000 0.5000 0.5000 x1  4 Os 2.69


## TcNi2Ag (GGA-PBE)

Data for crystalline TcNi2Ag at its relaxed geometry.

Calculated values
M_tot ... 1.90 μB/f.u.
Formation energy from the elements ... 387 meV per atom
Theoretical density ... 9.93 g/cm3

Cell lengths 3.9268, 3.9268, 7.0081 Å; angles 90.00, 90.00, 90.00 degrees
With the nearest neighbours (Å) after each atom.
Space group I4/mmm (No. 139)
Symmetry-distinct sites (fractional):
Tc 0.0000 0.0000 0.0000 x2  8 Ni 2.63, 4 Ag 2.78
Ni 0.0000 0.5000 0.2500 x4  4 Tc 2.63, 4 Ag 2.63, 4 Ni 2.78
Ag 0.0000 0.0000 0.5000 x2  8 Ni 2.63, 4 Tc 2.78


## MoIrS2 (GGA-PBE)

Data for crystalline MoIrS2 at its relaxed geometry.

Calculated values
M_tot ... 0.00 μB/f.u.
Theoretical density ... 10.54 g/cm3
Formation energy (no corrections) ... 0.20 eV per atom

Cell lengths 6.0555, 6.0555, 6.0555 Å; angles 90.00, 90.00, 90.00 degrees
With the nearest neighbours (Å) after each atom.
Space group Fm-3m (No. 225)
Symmetry-distinct sites (fractional):
Mo 0.0000 0.0000 0.0000 x4  8 S 2.62
Ir 0.0000 0.0000 0.5000 x4  8 S 2.62
S 0.2500 0.2500 0.2500 x8  4 Mo 2.62, 4 Ir 2.62


## Cs3AsO4 (GGA-PBE)

Data for crystalline Cs3AsO4 at its relaxed geometry.

Calculated values
M_tot ... 0.13 μB/f.u.
Theoretical density ... 4.53 g/cm3
Formation energy (no corrections) ... -1.67 eV per atom

Cell lengths 12.7178, 9.2085, 6.7378 Å; angles 90.00, 90.00, 90.00 degrees
With the nearest neighbours (Å) after each atom.
Space group Pnma (No. 62)
Symmetry-distinct sites (fractional):
Cs 0.0736 0.2500 0.1417 x4  6 O 2.94-3.28
Cs 0.1460 0.0084 0.6902 x8  6 O 3.09-3.40
As 0.1138 0.7500 0.2765 x4  4 O 1.74
O 0.0079 0.7500 0.4403 x4  1 As 1.74
O 0.1085 0.5954 0.1295 x8  1 As 1.74
O 0.2294 0.7500 0.4145 x4  1 As 1.74


## LaPrHoIn (GGA-PBE)

Data for crystalline LaPrHoIn at its relaxed geometry.

Calculated values
M_tot ... 0.01 μB/f.u.
Formation energy from the elements ... -107 meV per atom
Theoretical density ... 7.63 g/cm3

Cell lengths 7.8697, 7.8697, 7.8697 Å; angles 90.00, 90.00, 90.00 degrees
With the nearest neighbours (Å) after each atom.
Space group F-43m (No. 216)
Symmetry-distinct sites (fractional):
La 0.0000 0.0000 0.0000 x4  4 Pr 3.41, 4 Ho 3.41
Pr 0.2500 0.2500 0.2500 x4  4 In 3.41, 4 La 3.41
Ho 0.2500 0.2500 0.7500 x4  4 In 3.41, 4 La 3.41
In 0.0000 0.0000 0.5000 x4  4 Ho 3.41, 4 Pr 3.41


## CeTiAu (GGA-PBE)

Data for crystalline CeTiAu at its relaxed geometry.

Calculated values
M_tot ... 0.86 μB/f.u.
Formation energy from the elements ... -173 meV per atom
Theoretical density ... 9.05 g/cm3

Cell lengths 4.5259, 4.5259, 3.9821 Å; angles 90.00, 90.00, 120.00 degrees
With the nearest neighbours (Å) after each atom.
Space group P-6m2 (No. 187)
Symmetry-distinct sites (fractional):
Ce 0.0000 0.0000 0.0000 x1  6 Ti 3.29, 6 Au 3.29
Ti 0.6667 0.3333 0.5000 x1  3 Au 2.61
Au 0.3333 0.6667 0.5000 x1  3 Ti 2.61


Calculated electronic total energy in order - -1.161; -4.293; -6.619; -5.808; -6.786; -5.052; -4.362; -5.875 eV per atom